This record from Alexandria describes a geometry-optimized K2ZnAu structure. The functional is GGA-PBE.

```
data_K2ZnAu
_cell_length_a 8.110
_cell_length_b 8.110
_cell_length_c 8.110
_cell_angle_alpha 90.00
_cell_angle_beta 90.00
_cell_angle_gamma 90.00
_space_group_name_H-M_alt 'F m -3 m'
_space_group_IT_number 225
_space_group_name_Hall '-F 4 2 3'
loop_
_atom_site_label
_atom_site_fract_x
_atom_site_fract_y
_atom_site_fract_z
K1 0.250 0.250 0.250
Zn1 0.000 0.000 0.000
Au1 0.000 0.000 0.500
```

Properties
calculated total energy = -1.731 eV/atom
calculated volume = 33.344 Å³ per atom
energy relative to the elements = -1.0 kcal/mol of atoms


This record from Alexandria describes a geometry-optimized KZnAu4 structure. The functional is GGA-PBE.

```
data_KZnAu4
_cell_length_a 8.003
_cell_length_b 8.003
_cell_length_c 8.003
_cell_angle_alpha 90.00
_cell_angle_beta 90.00
_cell_angle_gamma 90.00
_space_group_name_H-M_alt 'F -4 3 m'
_space_group_IT_number 216
_space_group_name_Hall 'F -4 2 3'
loop_
_atom_site_label
_atom_site_fract_x
_atom_site_fract_y
_atom_site_fract_z
K1 0.000 0.000 0.000
Zn1 0.250 0.250 0.750
Au1 0.125 0.125 0.375
```

Properties
calculated total energy = -2.688 eV/atom
calculated volume = 21.357 Å³ per atom
energy relative to the elements = -2.5 kcal/mol of atoms


This record from Alexandria describes a geometry-optimized K2Zn5Au5 structure. The functional is GGA-PBE.

```
data_K2Zn5Au5
_cell_length_a 4.253
_cell_length_b 5.748
_cell_length_c 10.308
_cell_angle_alpha 90.00
_cell_angle_beta 90.00
_cell_angle_gamma 90.00
_space_group_name_H-M_alt 'P m m m'
_space_group_IT_number 47
_space_group_name_Hall '-P 2 2'
loop_
_atom_site_label
_atom_site_fract_x
_atom_site_fract_y
_atom_site_fract_z
K1 0.000 0.000 0.000
K2 0.000 0.500 0.500
Zn1 0.500 0.000 0.500
Zn2 0.500 0.249 0.251
Au1 0.000 0.000 0.335
Au2 0.000 0.500 0.183
Au3 0.500 0.500 0.000
```

Properties
calculated total energy = -2.311 eV/atom
calculated volume = 20.997 Å³ per atom
energy relative to the elements = -5.3 kcal/mol of atoms


This record from Alexandria describes a geometry-optimized K6ZnAu3 structure. The functional is GGA-PBE.

```
data_K6ZnAu3
_cell_length_a 9.968
_cell_length_b 6.664
_cell_length_c 12.301
_cell_angle_alpha 90.00
_cell_angle_beta 114.95
_cell_angle_gamma 90.00
_space_group_name_H-M_alt 'P 1 21/c 1'
_space_group_IT_number 14
_space_group_name_Hall '-P 2ybc'
loop_
_atom_site_label
_atom_site_fract_x
_atom_site_fract_y
_atom_site_fract_z
K1 0.096 0.029 0.382
K2 0.300 0.584 0.422
K3 0.382 0.244 0.210
Zn1 0.000 0.000 0.000
Au1 0.217 0.728 0.646
Au2 0.500 0.000 0.500
```

Properties
calculated total energy = -1.927 eV/atom
calculated volume = 37.040 Å³ per atom
energy relative to the elements = -3.7 kcal/mol of atoms